Entry 1:
VASP calculation (GGA-PBE) on a geometry-optimized BaCa3Rh structure.

The value obtained for the formation energy is -0.199 eV/atom. The calculation puts the raw total energy at -32.55 eV per cell. The calculation puts the total magnetization at 0.0 μB per cell.

The space group is P2_1/m (No. 11) and the conventional cell measures 6.838, 7.294 and 7.865 Å, with angles of 90.00, 108.12 and 90.00 degrees. The asymmetric unit holds Ba at (0.047, 0.250, 0.381), Ca at (0.023, 0.250, 0.873), Ca at (0.491, 0.502, 0.259) and Rh at (0.297, 0.750, 0.448).

Entry 2:
VASP calculation (GGA-PBE) on a geometry-optimized Dy2Sb3Pd9 structure.

Its uncorrected formation energy is -0.707 eV/atom. The calculation puts the raw total energy at -312.79 eV per cell. The calculation puts the total magnetization at 0.0 μB per cell.

The space group is C2/c (No. 15) and the conventional cell measures 13.887, 8.029 and 10.400 Å, with angles of 90.00, 116.06 and 90.00 degrees. The asymmetric unit holds Dy at (0.171, 0.086, 0.250), Sb at (0.085, 0.238, 0.500), Sb at (0.250, 0.250, 0.000), Pd at (0.000, 0.375, 0.250), Pd at (0.056, 0.076, 0.916), Pd at (0.101, 0.323, 0.748), Pd at (0.108, 0.412, 0.065) and Pd at (0.227, 0.412, 0.423).

Entry 3:
VASP calculation (GGA-PBE) on a geometry-optimized TiSbIN2 structure.

Its uncorrected formation energy is 1.412 eV/atom. The calculation puts the raw total energy at -23.16 eV per cell. The calculation puts the total magnetization at 0.2 μB per cell.

The space group is P4/mmm (No. 123) and the conventional cell measures 4.059, 4.059 and 6.308 Å, with angles of 90.00, 90.00 and 90.00 degrees. The asymmetric unit holds Ti at (0.000, 0.000, 0.000), Sb at (0.500, 0.500, 0.500), I at (0.500, 0.500, 0.000) and N at (0.000, 0.500, 0.500).

Entry 4:
VASP calculation (GGA-PBE) on a geometry-optimized K3CaTl3I8 structure.

Its uncorrected formation energy is -1.185 eV/atom. The calculation puts the raw total energy at -127.72 eV per cell. The calculation puts the total magnetization at 0.0 μB per cell.

The space group is R-3m (No. 166, hexagonal axes) and the conventional cell measures 10.0503, 10.0503 and 24.5131 Å, with angles of 90.00, 90.00 and 120.00 degrees. The asymmetric unit holds K at (0.0000, 0.5000, 0.0000), Ca at (0.0000, 0.0000, 0.0000), Tl at (0.0000, 0.5000, 0.5000), I at (0.0000, 0.0000, 0.2506) and I at (0.0348, 0.5174, 0.7417).

Look up the total magnetization of the first one.
0.0 μB per cell

Which formula does entry 2 have?
Dy2Sb3Pd9

What is the total magnetization in the third record?
0.2 μB per cell

What is the total magnetization in the fourth record?
0.0 μB per cell